[1]
This record from Alexandria describes a relaxed Hf5Zn crystal. The functional is PBE-GGA.

POSCAR file:
```
Hf5Zn
1.0
5.367 0.000 0.000
0.000 9.303 0.000
-1.711 0.000 5.055
Hf Zn
10 2
Direct
0.000 0.000 0.000
0.000 0.167 0.500
0.000 0.341 0.000
0.000 0.659 0.000
0.000 0.833 0.500
0.500 0.159 0.000
0.500 0.333 0.500
0.500 0.500 0.000
0.500 0.667 0.500
0.500 0.841 0.000
0.000 0.500 0.500
0.500 0.000 0.500
```

Output
Crystal system: monoclinic
Relative energy among the computed polymorphs: 72 meV per atom

[2]
This record from Alexandria describes a relaxed Ac2OsBr crystal. The functional is PBE-GGA.

POSCAR file:
```
Ac2OsBr
1.0
4.336 0.000 0.000
-2.168 3.755 0.000
0.000 0.000 24.860
Ac Os Br
6 3 3
Direct
0.000 0.000 0.000
0.000 0.000 0.205
0.333 0.667 0.667
0.333 0.667 0.872
0.667 0.333 0.333
0.667 0.333 0.539
0.000 0.000 0.603
0.333 0.667 0.270
0.667 0.333 0.937
0.000 0.000 0.433
0.333 0.667 0.099
0.667 0.333 0.766
```

Output
Formation energy without anion corrections: -0.659 eV per atom
Crystal system: trigonal
Relative energy among the computed polymorphs: 26 meV per atom